# LaReN2F

A crystal of LaReN2F relaxed with PBEsol (SCAN, the Alexandria database).

Summary:
SG = P4/mmm
formation energy (no corrections) = -1164 meV per atom
DFT total energy = -142.14 eV/f.u.

Structure (CIF):
```
data_LaReN2F
_cell_length_a 3.9551
_cell_length_b 3.9551
_cell_length_c 4.1250
_cell_angle_alpha 90.00
_cell_angle_beta 90.00
_cell_angle_gamma 90.00
_symmetry_space_group_name_H-M 'P 1'
_symmetry_Int_Tables_number 1
_symmetry_space_group_name_Hall 'P 1'
loop_
_atom_site_label
_atom_site_fract_x
_atom_site_fract_y
_atom_site_fract_z
N1 0.5000 0.0000 0.0000
N2 0.0000 0.5000 0.0000
La1 0.5000 0.5000 0.5000
F1 0.0000 0.0000 0.5000
Re1 0.0000 0.0000 0.0000
```